ZnCr2Ag: optimized geometry, PBE.

Values from the calculation:
Energy of formation from the pure elements in eV per atom: 0.4882
Crystal system: tetragonal

Lattice parameters (Å, degrees): 4.526 4.526 3.150 90.00 90.00 90.00
Atoms (fractional coordinates):
Cr (0.500, 0.500, 0.000)
Cr (0.000, 0.000, 0.000)
Zn (0.500, 0.000, 0.500)
Ag (0.000, 0.500, 0.500)

---

CoHgPd2: optimized geometry, PBE.

Values from the calculation:
Energy of formation from the pure elements in eV per atom: 0.4091
Crystal system: tetragonal

Lattice parameters (Å, degrees): 3.855 3.855 9.679 78.51 78.51 90.00
Atoms (fractional coordinates):
Pd (0.875, 0.862, 0.750)
Pd (0.612, 0.125, 0.250)
Pd (0.138, 0.625, 0.250)
Pd (0.375, 0.388, 0.750)
Hg (0.000, 0.000, 0.000)
Hg (0.750, 0.250, 0.500)
Co (0.500, 0.500, 0.000)
Co (0.250, 0.750, 0.500)

---

Te2HPtI: optimized geometry, PBE.

Values from the calculation:
DFT total energy in eV/atom: -2.725
Crystal system: tetragonal

Lattice parameters (Å, degrees): 5.323 5.323 5.760 90.00 90.00 90.00
Atoms (fractional coordinates):
Te (0.000, 0.500, 0.000)
Te (0.500, 0.000, 0.000)
I (0.000, 0.000, 0.500)
H (0.500, 0.500, 0.500)
Pt (0.000, 0.000, 0.000)

---

Sm2Tc2N7: optimized geometry, PBE.

Values from the calculation:
Crystal system: monoclinic
Formation energy from raw total energies in eV per atom: -0.301

Lattice parameters (Å, degrees): 6.166 5.177 6.166 82.10 74.12 97.90
Atoms (fractional coordinates):
N (0.000, 0.000, 0.000)
N (0.391, 0.214, 0.609)
N (0.609, 0.786, 0.391)
N (0.909, 0.290, 0.392)
N (0.608, 0.290, 0.091)
N (0.091, 0.710, 0.608)
N (0.392, 0.710, 0.909)
Sm (0.696, 0.500, 0.696)
Sm (0.304, 0.500, 0.304)
Tc (0.777, 0.102, 0.223)
Tc (0.223, 0.898, 0.777)

---

Tl5S3: optimized geometry, PBE.

Values from the calculation:
Crystal system: orthorhombic
Formation energy from raw total energies in eV per atom: -0.255

Lattice parameters (Å, degrees): 8.584 8.642 12.601 90.00 90.00 90.00
Atoms (fractional coordinates):
S (0.138, 0.750, 0.023)
S (0.483, 0.996, 0.209)
S (0.862, 0.250, 0.977)
S (0.017, 0.996, 0.709)
S (0.983, 0.004, 0.291)
S (0.362, 0.750, 0.523)
S (0.983, 0.496, 0.291)
S (0.517, 0.004, 0.791)
S (0.483, 0.504, 0.209)
S (0.517, 0.496, 0.791)
S (0.017, 0.504, 0.709)
S (0.638, 0.250, 0.477)
Tl (0.506, 0.250, 0.965)
Tl (0.766, 0.250, 0.202)
Tl (0.171, 0.057, 0.105)
Tl (0.734, 0.250, 0.702)
Tl (0.351, 0.250, 0.338)
Tl (0.006, 0.750, 0.535)
Tl (0.671, 0.943, 0.395)
Tl (0.329, 0.443, 0.605)
Tl (0.994, 0.250, 0.465)
Tl (0.829, 0.557, 0.895)
Tl (0.829, 0.943, 0.895)
Tl (0.149, 0.250, 0.838)
Tl (0.266, 0.750, 0.298)
Tl (0.494, 0.750, 0.035)
Tl (0.171, 0.443, 0.105)
Tl (0.234, 0.750, 0.798)
Tl (0.649, 0.750, 0.662)
Tl (0.851, 0.750, 0.162)
Tl (0.671, 0.557, 0.395)
Tl (0.329, 0.057, 0.605)

---

TaCoSi: optimized geometry, PBE.

Values from the calculation:
Crystal system: orthorhombic
Formation energy from raw total energies in eV per atom: -0.343

Lattice parameters (Å, degrees): 3.819 5.691 7.584 90.00 90.00 90.00
Atoms (fractional coordinates):
Ta (0.250, 0.156, 0.414)
Ta (0.250, 0.656, 0.086)
Ta (0.750, 0.844, 0.586)
Ta (0.750, 0.344, 0.914)
Co (0.250, 0.627, 0.421)
Co (0.250, 0.127, 0.079)
Co (0.750, 0.373, 0.579)
Co (0.750, 0.873, 0.921)
Si (0.250, 0.544, 0.722)
Si (0.250, 0.044, 0.778)
Si (0.750, 0.456, 0.278)
Si (0.750, 0.956, 0.222)

---

Pm2Fe2C3: optimized geometry, PBE.

Values from the calculation:
Energy of formation from the pure elements in eV per atom: -0.1807
Crystal system: monoclinic

Lattice parameters (Å, degrees): 3.512 5.662 5.282 103.42 109.42 90.00
Atoms (fractional coordinates):
C (0.298, 0.716, 0.596)
C (0.702, 0.284, 0.404)
C (0.000, 0.500, 0.000)
Fe (0.160, 0.405, 0.321)
Fe (0.840, 0.595, 0.679)
Pm (0.394, 0.185, 0.788)
Pm (0.606, 0.815, 0.212)

---

CsAg2Te4As: optimized geometry, PBE.

Values from the calculation:
Crystal system: orthorhombic
Formation energy from raw total energies in eV per atom: -0.194

Lattice parameters (Å, degrees): 7.244 7.514 7.514 80.54 61.18 61.18
Atoms (fractional coordinates):
As (0.000, 0.500, 0.500)
Ag (0.500, 0.339, 0.661)
Ag (0.500, 0.661, 0.339)
Cs (0.000, 0.000, 0.000)
Te (0.976, 0.479, 0.169)
Te (0.376, 0.169, 0.479)
Te (0.024, 0.831, 0.521)
Te (0.624, 0.521, 0.831)

---

ZrBiSbTe2: optimized geometry, PBE.

Values from the calculation:
Crystal system: tetragonal
Formation energy from raw total energies in eV per atom: 0.119

Lattice parameters (Å, degrees): 5.532 5.532 5.685 90.00 90.00 90.00
Atoms (fractional coordinates):
Te (0.500, 0.000, 0.000)
Te (0.000, 0.500, 0.000)
Sb (0.000, 0.000, 0.500)
Bi (0.500, 0.500, 0.500)
Zr (0.000, 0.000, 0.000)

---

BaLiCo: optimized geometry, PBE.

Values from the calculation:
Energy of formation from the pure elements in eV per atom: 0.5185
Crystal system: hexagonal

Lattice parameters (Å, degrees): 4.543 4.543 4.535 90.00 90.00 120.00
Atoms (fractional coordinates):
Co (0.333, 0.667, 0.500)
Li (0.667, 0.333, 0.500)
Ba (0.000, 0.000, 0.000)

---

Y3Ti5Se12: optimized geometry, PBE.

Values from the calculation:
Crystal system: cubic
Formation energy from raw total energies in eV per atom: -1.227

Lattice parameters (Å, degrees): 13.781 13.781 13.781 109.47 109.47 109.47
Atoms (fractional coordinates):
Se (0.587, 0.965, 0.678)
Se (0.322, 0.787, 0.410)
Se (0.678, 0.213, 0.590)
Se (0.087, 0.910, 0.123)
Se (0.590, 0.877, 0.413)
Se (0.822, 0.913, 0.035)
Se (0.713, 0.590, 0.178)
Se (0.087, 0.178, 0.465)
Se (0.413, 0.377, 0.590)
Se (0.678, 0.465, 0.587)
Se (0.913, 0.090, 0.877)
Se (0.822, 0.910, 0.287)
Se (0.287, 0.410, 0.822)
Se (0.377, 0.965, 0.787)
Se (0.587, 0.623, 0.410)
Se (0.877, 0.287, 0.465)
Se (0.123, 0.410, 0.087)
Se (0.535, 0.213, 0.123)
Se (0.035, 0.623, 0.713)
Se (0.535, 0.322, 0.913)
Se (0.465, 0.678, 0.087)
Se (0.623, 0.035, 0.213)
Se (0.410, 0.123, 0.587)
Se (0.035, 0.413, 0.822)
Se (0.713, 0.123, 0.035)
Se (0.623, 0.587, 0.910)
Se (0.410, 0.287, 0.322)
Se (0.910, 0.087, 0.623)
Se (0.590, 0.713, 0.678)
Se (0.413, 0.035, 0.322)
Se (0.877, 0.590, 0.913)
Se (0.090, 0.913, 0.377)
Se (0.965, 0.377, 0.287)
Se (0.213, 0.678, 0.090)
Se (0.178, 0.087, 0.965)
Se (0.322, 0.535, 0.413)
Se (0.287, 0.877, 0.965)
Se (0.965, 0.587, 0.178)
Se (0.090, 0.178, 0.213)
Se (0.178, 0.090, 0.713)
Se (0.910, 0.822, 0.787)
Se (0.787, 0.322, 0.910)
Se (0.465, 0.787, 0.877)
Se (0.787, 0.465, 0.377)
Se (0.213, 0.535, 0.623)
Se (0.913, 0.822, 0.535)
Se (0.377, 0.413, 0.090)
Se (0.123, 0.713, 0.535)
Ti (0.125, 0.750, 0.375)
Ti (0.000, 0.500, 0.500)
Ti (0.125, 0.375, 0.250)
Ti (0.625, 0.875, 0.250)
Ti (0.625, 0.750, 0.875)
Ti (0.500, 0.000, 0.000)
Ti (0.750, 0.125, 0.875)
Ti (0.875, 0.625, 0.750)
Ti (0.000, 0.000, 0.500)
Ti (0.375, 0.125, 0.750)
Ti (0.500, 0.500, 0.000)
Ti (0.250, 0.375, 0.625)
Ti (0.750, 0.625, 0.375)
Ti (0.000, 0.000, 0.000)
Ti (0.375, 0.250, 0.125)
Ti (0.875, 0.250, 0.625)
Ti (0.500, 0.000, 0.500)
Ti (0.500, 0.500, 0.500)
Ti (0.250, 0.875, 0.125)
Ti (0.000, 0.500, 0.000)
Y (0.625, 0.375, 0.750)
Y (0.125, 0.875, 0.750)
Y (0.625, 0.250, 0.375)
Y (0.750, 0.875, 0.625)
Y (0.375, 0.625, 0.250)
Y (0.750, 0.375, 0.125)
Y (0.375, 0.750, 0.625)
Y (0.250, 0.125, 0.375)
Y (0.875, 0.125, 0.250)
Y (0.125, 0.250, 0.875)
Y (0.250, 0.625, 0.875)
Y (0.875, 0.750, 0.125)

---

La2ZrAl: optimized geometry, PBE.

Values from the calculation:
Energy of formation from the pure elements in eV per atom: -0.0154
Crystal system: orthorhombic

Lattice parameters (Å, degrees): 3.484 4.573 6.954 90.00 90.00 90.00
Atoms (fractional coordinates):
Al (0.500, 0.500, 0.750)
La (0.000, 0.000, 0.519)
La (0.000, 0.000, 0.981)
Zr (0.500, 0.500, 0.250)

---

Ce2ZnHgIr: optimized geometry, PBE.

Values from the calculation:
Energy of formation from the pure elements in eV per atom: -0.4852
Crystal system: monoclinic

Lattice parameters (Å, degrees): 4.077 7.981 7.927 111.64 90.00 90.00
Atoms (fractional coordinates):
Zn (0.750, 0.447, 0.362)
Zn (0.250, 0.553, 0.638)
Ce (0.750, 0.710, 0.007)
Ce (0.750, 0.884, 0.649)
Ce (0.250, 0.290, 0.993)
Ce (0.250, 0.116, 0.351)
Hg (0.750, 0.313, 0.683)
Hg (0.250, 0.687, 0.317)
Ir (0.750, 0.122, 0.114)
Ir (0.250, 0.878, 0.886)

---

MnSeI: optimized geometry, PBE.

Values from the calculation:
Crystal system: trigonal
Formation energy from raw total energies in eV per atom: -0.328

Lattice parameters (Å, degrees): 3.814 3.814 6.901 74.00 89.98 59.98
Atoms (fractional coordinates):
Se (0.921, 0.772, 0.471)
Mn (0.190, 0.234, 0.278)
I (0.430, 0.755, 0.997)

---

Ga3NiIr2: optimized geometry, PBE.

Values from the calculation:
Energy of formation from the pure elements in eV per atom: -0.3631
Crystal system: trigonal

Lattice parameters (Å, degrees): 4.279 4.279 10.487 90.00 90.00 120.00
Atoms (fractional coordinates):
Ir (0.000, 0.000, 0.000)
Ir (0.333, 0.667, 0.169)
Ir (0.667, 0.333, 0.831)
Ir (0.000, 0.000, 0.500)
Ga (0.667, 0.333, 0.088)
Ga (0.000, 0.000, 0.255)
Ga (0.333, 0.667, 0.912)
Ga (0.333, 0.667, 0.418)
Ga (0.667, 0.333, 0.582)
Ga (0.000, 0.000, 0.745)
Ni (0.667, 0.333, 0.330)
Ni (0.333, 0.667, 0.670)

---

LiCeSn4Pd2: optimized geometry, PBE.

Values from the calculation:
Energy of formation from the pure elements in eV per atom: -0.4929
Crystal system: trigonal

Lattice parameters (Å, degrees): 4.643 4.643 9.777 76.26 76.26 60.00
Atoms (fractional coordinates):
Sn (0.873, 0.873, 0.382)
Sn (0.127, 0.127, 0.618)
Sn (0.606, 0.606, 0.181)
Sn (0.394, 0.394, 0.819)
Pd (0.759, 0.759, 0.723)
Pd (0.241, 0.241, 0.277)
Ce (0.000, 0.000, 0.000)
Li (0.500, 0.500, 0.500)

---

CsSc2H: optimized geometry, PBE.

Values from the calculation:
DFT total energy in eV/atom: -3.418
Crystal system: trigonal

Lattice parameters (Å, degrees): 5.172 5.172 5.172 74.21 74.21 74.21
Atoms (fractional coordinates):
Sc (0.161, 0.161, 0.161)
Sc (0.839, 0.839, 0.839)
Cs (0.500, 0.500, 0.500)
H (0.000, 0.000, 0.000)

---

Ho2Tm6Ru: optimized geometry, PBE.

Values from the calculation:
Energy of formation from the pure elements in eV per atom: -0.0745
Crystal system: monoclinic

Lattice parameters (Å, degrees): 3.603 8.522 12.469 136.54 90.00 90.00
Atoms (fractional coordinates):
Ho (0.500, 0.766, 0.467)
Ho (0.500, 0.234, 0.533)
Ru (0.000, 0.000, 0.000)
Tm (0.500, 0.287, 0.052)
Tm (0.000, 0.774, 0.218)
Tm (0.000, 0.226, 0.782)
Tm (0.500, 0.713, 0.948)
Tm (0.000, 0.261, 0.300)
Tm (0.000, 0.739, 0.700)

---

Sr8SnBi5: optimized geometry, PBE.

Values from the calculation:
Energy of formation from the pure elements in eV per atom: -0.8153
Crystal system: tetragonal

Lattice parameters (Å, degrees): 8.844 8.844 8.844 109.30 109.82 109.30
Atoms (fractional coordinates):
Bi (0.370, 0.121, 0.991)
Bi (0.871, 0.879, 0.249)
Bi (0.009, 0.379, 0.129)
Bi (0.751, 0.621, 0.630)
Bi (0.500, 0.000, 0.500)
Sr (0.273, 0.246, 0.373)
Sr (0.973, 0.100, 0.727)
Sr (0.763, 0.246, 0.370)
Sr (0.627, 0.900, 0.873)
Sr (0.127, 0.754, 0.027)
Sr (0.483, 0.607, 0.237)
Sr (0.124, 0.754, 0.517)
Sr (0.630, 0.393, 0.876)
Sn (0.250, 0.500, 0.750)

---

BePtAu2: optimized geometry, PBE.

Values from the calculation:
Energy of formation from the pure elements in eV per atom: -0.0430
Crystal system: trigonal

Lattice parameters (Å, degrees): 8.752 8.752 8.752 18.77 18.77 18.77
Atoms (fractional coordinates):
Be (0.250, 0.250, 0.250)
Au (0.512, 0.512, 0.512)
Au (0.988, 0.988, 0.988)
Pt (0.750, 0.750, 0.750)

---

For the records above, the corresponding N(E_F) values read 0.841 1.600 0.986 0.308 0.420 0.714 0.674 0.033 1.140 1.809 0.803 1.329 1.987 0.611 0.543 0.982 1.207 1.330 0.707 0.248 states/eV per atom.